# Tm3Al12Os4 | Alexandria via LeMat-Bulk | GGA-PBEsol | optimized geometry
# ΔH_f (0 K)	-0.580	eV/atom
# density	8.49	g/cm3
# DOS(E_F)	18.427	states/eV per cell
data_Tm3Al12Os4
_cell_length_a 8.7116
_cell_length_b 8.7116
_cell_length_c 9.4750
_cell_angle_alpha 90.00
_cell_angle_beta 90.00
_cell_angle_gamma 120.00
_space_group_name_H-M_alt 'P 63/m m c'
_space_group_IT_number 194
_space_group_name_Hall '-P 6c 2c'
loop_
_atom_site_label
_atom_site_type_symbol
_atom_site_fract_x
_atom_site_fract_y
_atom_site_fract_z
Tm1 Tm 0.1942 0.3883 0.2500
Al1 Al 0.0000 0.0000 0.2500
Al2 Al 0.1219 0.5609 0.7500
Al3 Al 0.1632 0.3264 0.5760
Al4 Al 0.3333 0.6667 0.0202
Os1 Os 0.0000 0.0000 0.0000
Os2 Os 0.0000 0.5000 0.0000

***

# AlOsW | Alexandria via LeMat-Bulk | GGA-PBEsol | optimized geometry
# ΔH_f (0 K)	-0.218	eV/atom
# density	15.53	g/cm3
# DOS(E_F)	2.792	states/eV per cell
data_AlOsW
_cell_length_a 2.952
_cell_length_b 2.952
_cell_length_c 9.841
_cell_angle_alpha 90.00
_cell_angle_beta 90.00
_cell_angle_gamma 90.00
_space_group_name_H-M_alt 'I 4 m m'
_space_group_IT_number 107
_space_group_name_Hall 'I 4 -2'
loop_
_atom_site_label
_atom_site_type_symbol
_atom_site_fract_x
_atom_site_fract_y
_atom_site_fract_z
Al1 Al 0.000 0.000 0.000
Os1 Os 0.000 0.000 0.657
W1 W 0.000 0.000 0.323

***

# YAlOs | Alexandria via LeMat-Bulk | GGA-PBEsol | optimized geometry
# ΔH_f (0 K)	-0.279	eV/atom
# density	8.87	g/cm3
# DOS(E_F)	1.800	states/eV per cell
data_YAlOs
_cell_length_a 4.3210
_cell_length_b 4.3210
_cell_length_c 3.5433
_cell_angle_alpha 90.00
_cell_angle_beta 90.00
_cell_angle_gamma 120.00
_space_group_name_H-M_alt 'P -6 m 2'
_space_group_IT_number 187
_space_group_name_Hall 'P -6 2'
loop_
_atom_site_label
_atom_site_type_symbol
_atom_site_fract_x
_atom_site_fract_y
_atom_site_fract_z
Y1 Y 0.0000 0.0000 0.0000
Al1 Al 0.3333 0.6667 0.5000
Os1 Os 0.6667 0.3333 0.5000

***

# YAlOs2 | Alexandria via LeMat-Bulk | GGA-PBEsol | optimized geometry
# ΔH_f (0 K)	0.227	eV/atom
# density	12.60	g/cm3
# DOS(E_F)	9.315	states/eV per cell
data_YAlOs2
_cell_length_a 2.9985
_cell_length_b 2.9985
_cell_length_c 25.2069
_cell_angle_alpha 90.00
_cell_angle_beta 90.00
_cell_angle_gamma 120.00
_space_group_name_H-M_alt 'R -3 m'
_space_group_IT_number 166
_space_group_name_Hall '-R 3 2"'
loop_
_atom_site_label
_atom_site_type_symbol
_atom_site_fract_x
_atom_site_fract_y
_atom_site_fract_z
Y1 Y 0.0000 0.0000 0.0000
Al1 Al 0.0000 0.0000 0.5000
Os1 Os 0.0000 0.0000 0.2425

***

# AlZn3Os | Alexandria via LeMat-Bulk | GGA-PBEsol | optimized geometry
# ΔH_f (0 K)	0.837	eV/atom
# density	6.47	g/cm3
# DOS(E_F)	2.864	states/eV per cell
data_AlZn3Os
_cell_length_a 4.735
_cell_length_b 4.735
_cell_length_c 4.735
_cell_angle_alpha 90.00
_cell_angle_beta 90.00
_cell_angle_gamma 90.00
_space_group_name_H-M_alt 'P m -3 m'
_space_group_IT_number 221
_space_group_name_Hall '-P 4 2 3'
loop_
_atom_site_label
_atom_site_type_symbol
_atom_site_fract_x
_atom_site_fract_y
_atom_site_fract_z
Al1 Al 0.000 0.000 0.000
Zn1 Zn 0.000 0.500 0.500
Os1 Os 0.500 0.500 0.500

***

# AlZnOs | Alexandria via LeMat-Bulk | GGA-PBEsol | optimized geometry
# ΔH_f (0 K)	0.165	eV/atom
# density	10.88	g/cm3
# DOS(E_F)	8.602	states/eV per cell
data_AlZnOs
_cell_length_a 2.888
_cell_length_b 4.669
_cell_length_c 12.797
_cell_angle_alpha 90.00
_cell_angle_beta 90.00
_cell_angle_gamma 90.00
_space_group_name_H-M_alt 'F m m 2'
_space_group_IT_number 42
_space_group_name_Hall 'F 2 -2'
loop_
_atom_site_label
_atom_site_type_symbol
_atom_site_fract_x
_atom_site_fract_y
_atom_site_fract_z
Al1 Al 0.000 0.000 0.000
Zn1 Zn 0.000 0.000 0.674
Os1 Os 0.000 0.000 0.342

***

# ZrAlZn2Os | Alexandria via LeMat-Bulk | GGA-PBEsol | optimized geometry
# ΔH_f (0 K)	0.684	eV/atom
# density	8.27	g/cm3
# DOS(E_F)	3.228	states/eV per cell
data_ZrAlZn2Os
_cell_length_a 4.405
_cell_length_b 4.405
_cell_length_c 4.549
_cell_angle_alpha 90.00
_cell_angle_beta 90.00
_cell_angle_gamma 90.00
_space_group_name_H-M_alt 'P 4/m m m'
_space_group_IT_number 123
_space_group_name_Hall '-P 4 2'
loop_
_atom_site_label
_atom_site_type_symbol
_atom_site_fract_x
_atom_site_fract_y
_atom_site_fract_z
Zr1 Zr 0.000 0.000 0.000
Al1 Al 0.500 0.500 0.500
Zn1 Zn 0.000 0.500 0.500
Os1 Os 0.500 0.500 0.000

***

# Zr2Al2Os | Alexandria via LeMat-Bulk | GGA-PBEsol | optimized geometry
# ΔH_f (0 K)	0.539	eV/atom
# density	7.74	g/cm3
# DOS(E_F)	6.699	states/eV per cell
data_Zr2Al2Os
_cell_length_a 3.762
_cell_length_b 3.762
_cell_length_c 12.930
_cell_angle_alpha 90.00
_cell_angle_beta 90.00
_cell_angle_gamma 90.00
_space_group_name_H-M_alt 'I 4/m m m'
_space_group_IT_number 139
_space_group_name_Hall '-I 4 2'
loop_
_atom_site_label
_atom_site_type_symbol
_atom_site_fract_x
_atom_site_fract_y
_atom_site_fract_z
Zr1 Zr 0.000 0.500 0.250
Al1 Al 0.000 0.000 0.089
Os1 Os 0.000 0.000 0.500

***

# ZrAl2Os | Alexandria via LeMat-Bulk | GGA-PBEsol | optimized geometry
# ΔH_f (0 K)	-0.274	eV/atom
# density	8.46	g/cm3
# DOS(E_F)	6.486	states/eV per cell
data_ZrAl2Os
_cell_length_a 3.080
_cell_length_b 4.693
_cell_length_c 9.106
_cell_angle_alpha 90.00
_cell_angle_beta 90.00
_cell_angle_gamma 90.00
_space_group_name_H-M_alt 'I m m m'
_space_group_IT_number 71
_space_group_name_Hall '-I 2 2'
loop_
_atom_site_label
_atom_site_type_symbol
_atom_site_fract_x
_atom_site_fract_y
_atom_site_fract_z
Zr1 Zr 0.000 0.000 0.000
Al1 Al 0.000 0.500 0.228
Os1 Os 0.000 0.000 0.500

***

# AlP3 | Alexandria via LeMat-Bulk | GGA-PBEsol | optimized geometry
# ΔH_f (0 K)	0.293	eV/atom
# density	3.11	g/cm3
# DOS(E_F)	3.447	states/eV per cell
data_AlP3
_cell_length_a 10.381
_cell_length_b 2.589
_cell_length_c 4.780
_cell_angle_alpha 90.00
_cell_angle_beta 93.99
_cell_angle_gamma 90.00
_space_group_name_H-M_alt 'C 1 2/m 1'
_space_group_IT_number 12
_space_group_name_Hall '-C 2y'
loop_
_atom_site_label
_atom_site_type_symbol
_atom_site_fract_x
_atom_site_fract_y
_atom_site_fract_z
Al1 Al 0.000 0.000 0.000
P1 P 0.000 0.500 0.500
P2 P 0.183 0.500 0.225

***

# Al3P | Alexandria via LeMat-Bulk | GGA-PBEsol | optimized geometry
# ΔH_f (0 K)	-0.001	eV/atom
# density	2.59	g/cm3
# excess energy over the best structure of this formula in the dataset	0.0000	eV/atom
# DOS(E_F)	1.223	states/eV per cell
data_Al3P
_cell_length_a 3.4346
_cell_length_b 3.4346
_cell_length_c 7.0229
_cell_angle_alpha 90.00
_cell_angle_beta 90.00
_cell_angle_gamma 120.00
_space_group_name_H-M_alt 'P -6 m 2'
_space_group_IT_number 187
_space_group_name_Hall 'P -6 2'
loop_
_atom_site_label
_atom_site_type_symbol
_atom_site_fract_x
_atom_site_fract_y
_atom_site_fract_z
Al1 Al 0.0000 0.0000 0.0000
Al2 Al 0.6667 0.3333 0.2918
P1 P 0.0000 0.0000 0.5000

***

# AlP | Alexandria via LeMat-Bulk | GGA-PBEsol | optimized geometry
# ΔH_f (0 K)	-0.237	eV/atom
# density	2.49	g/cm3
# DOS(E_F)	2.338	states/eV per cell
data_AlP
_cell_length_a 11.707
_cell_length_b 3.577
_cell_length_c 6.265
_cell_angle_alpha 90.00
_cell_angle_beta 117.95
_cell_angle_gamma 90.00
_space_group_name_H-M_alt 'C 1 m 1'
_space_group_IT_number 8
_space_group_name_Hall 'C -2y'
loop_
_atom_site_label
_atom_site_type_symbol
_atom_site_fract_x
_atom_site_fract_y
_atom_site_fract_z
Al1 Al 0.000 0.000 0.000
Al2 Al 0.081 0.500 0.466
Al3 Al 0.330 0.500 0.305
P1 P 0.032 0.000 0.660
P2 P 0.202 0.000 0.357
P3 P 0.385 0.000 0.063

***

Which value of ΔH_f (0 K) does entry 10 give? 0.293 eV/atom